Compound: Ac4Ge2Bi
Source: Alexandria
Functional: PBE-GGA
Structure: optimized geometry

Cell and atoms, written as extended XYZ:
```
14
Lattice="-4.074 1.758 -1.449 -1.437 -4.042 6.656 2.534 12.658 8.233" Properties=species:S:1:pos:R:3 pbc="T T T"
Bi -2.065 0.709 6.664
Bi -0.913 9.666 6.776
Ge -3.157 5.680 8.247
Ge -0.773 -0.059 2.100
Ge -2.205 10.434 11.340
Ge 0.179 4.694 5.193
Ac -0.048 6.335 7.822
Ac -3.244 7.545 10.754
Ac 0.629 9.721 10.025
Ac -2.929 4.039 5.618
Ac -2.037 0.879 -0.725
Ac -3.607 0.654 3.415
Ac -0.770 7.208 3.392
Ac 0.266 2.830 2.686
```

Properties
Formation enthalpy at 0 K   -700 meV per atom
VASP energy   -34.45 eV per formula unit
Spin magnetization   0.78 μB per formula unit
D(E_F)   0.6221 states/eV per atom